Here is a relaxed Li2InAuO4 crystal from Alexandria via LeMat-Bulk. Energies are from PBE-GGA.

Unit cell a=8.5188 b=8.7085 c=6.6726 alpha=90.00 beta=129.66 gamma=90.00
With the nearest neighbours (Å) after each atom.
Space group C2/c (No. 15)
Inequivalent atoms, fractional coordinates:
Li 0.0000 0.0000 0.0000 (multiplicity 4)  4 O 2.08-2.29
Li 0.2500 0.2500 0.0000 (multiplicity 4)  6 O 2.10-2.35
In 0.0000 0.5000 0.0000 (multiplicity 4)  6 O 2.17-2.29
Au 0.2500 0.2500 0.5000 (multiplicity 4)  4 O 2.05
O 0.0612 0.2570 0.5916 (multiplicity 8)  1 Au 2.05, 2 Li 2.10-2.29, 1 In 2.17
O 0.2308 0.4828 0.4439 (multiplicity 8)  1 Au 2.05, 1 Li 2.08, 2 In 2.23-2.29

- Theoretical density: 6.8 g/cm3
- Total energy: -4.95 eV/atom
- Energy relative to the elements, uncorrected: -1.2385 eV per atom